A geometry-optimized ThGeTe structure, computed with GGA-PBE.

Lattice parameters (Å, degrees): 9.660 9.660 9.660 154.70 154.70 36.08
Positions (direct):
Th1 0.123 0.123 0.000
Th2 0.877 0.877 0.000
Ge1 0.000 0.500 0.500
Ge2 0.500 0.000 0.500
Te1 0.311 0.311 0.000
Te2 0.689 0.689 0.000

Computed properties:
The calculation puts the raw total energy at -6.059 eV per atom. As for the space-group type: I4/mmm, No. 139.

A geometry-optimized Th6Ge5Te structure, computed with GGA-PBE.

Lattice parameters (Å, degrees): 7.513 7.513 7.509 99.62 99.62 119.94
Positions (direct):
Th1 0.067 0.413 0.741
Th2 0.239 0.239 0.256
Th3 0.413 0.067 0.741
Th4 0.587 0.933 0.259
Th5 0.761 0.761 0.744
Th6 0.933 0.587 0.259
Ge1 0.000 0.000 0.500
Ge2 0.168 0.832 0.000
Ge3 0.339 0.661 0.500
Ge4 0.661 0.339 0.500
Ge5 0.832 0.168 0.000
Te1 0.500 0.500 0.000

Computed properties:
The calculation puts the raw total energy at -6.759 eV per atom. As for the space-group type: C2/m, No. 12.

A geometry-optimized Th4GeTe5 structure, computed with GGA-PBE.

Lattice parameters (Å, degrees): 9.870 9.870 8.798 102.56 102.56 25.72
Positions (direct):
Th1 0.000 0.000 0.236
Th2 0.000 0.000 0.764
Th3 0.340 0.340 0.915
Th4 0.660 0.660 0.085
Ge1 0.500 0.500 0.000
Te1 0.167 0.167 0.340
Te2 0.169 0.169 0.824
Te3 0.500 0.500 0.500
Te4 0.831 0.831 0.176
Te5 0.833 0.833 0.660

Computed properties:
The calculation puts the raw total energy at -6.098 eV per atom. As for the space-group type: C2/m, No. 12.

A geometry-optimized ThGeTe4 structure, computed with GGA-PBE.

Lattice parameters (Å, degrees): 7.507 7.277 7.725 90.00 96.09 90.00
Positions (direct):
Th1 0.000 0.000 0.000
Th2 0.000 0.500 0.500
Ge1 0.500 0.000 0.500
Ge2 0.500 0.500 0.000
Te1 0.143 0.132 0.362
Te2 0.143 0.368 0.862
Te3 0.391 0.612 0.380
Te4 0.391 0.888 0.880
Te5 0.609 0.112 0.120
Te6 0.609 0.388 0.620
Te7 0.857 0.632 0.138
Te8 0.857 0.868 0.638

Computed properties:
The calculation puts the raw total energy at -4.528 eV per atom. As for the space-group type: P2_1/c, No. 14.

A geometry-optimized Th3GeTe2 structure, computed with GGA-PBE.

Lattice parameters (Å, degrees): 7.653 7.653 7.527 99.64 99.64 118.55
Positions (direct):
Th1 0.000 0.500 0.000
Th2 0.135 0.286 0.485
Th3 0.286 0.135 0.985
Th4 0.500 0.000 0.500
Th5 0.714 0.865 0.015
Th6 0.865 0.714 0.515
Ge1 0.095 0.905 0.250
Ge2 0.905 0.095 0.750
Te1 0.266 0.734 0.750
Te2 0.423 0.577 0.250
Te3 0.577 0.423 0.750
Te4 0.734 0.266 0.250

Computed properties:
Its energy above the most stable polymorph in this dataset is 14 meV per atom. As for the space-group type: C2/c, No. 15.

A geometry-optimized Th3Ge2Te structure, computed with GGA-PBE.

Lattice parameters (Å, degrees): 7.601 7.601 7.601 146.83 132.11 59.50
Positions (direct):
Th1 0.000 0.000 0.000
Th2 0.318 0.318 0.000
Th3 0.682 0.682 0.000
Ge1 0.162 0.662 0.500
Ge2 0.838 0.338 0.500
Te1 0.500 0.000 0.500

Computed properties:
The calculation puts the raw total energy at -6.695 eV per atom. As for the space-group type: Immm, No. 71.

A geometry-optimized Th7Ge4Te4 structure, computed with GGA-PBE.

Lattice parameters (Å, degrees): 11.551 11.551 11.551 95.92 95.92 142.53
Positions (direct):
Th1 0.000 0.286 0.286
Th2 0.000 0.714 0.714
Th3 0.118 0.500 0.618
Th4 0.247 0.247 0.000
Th5 0.286 0.000 0.286
Th6 0.291 0.291 0.581
Th7 0.291 0.709 0.000
Th8 0.500 0.118 0.618
Th9 0.500 0.882 0.382
Th10 0.709 0.291 0.000
Th11 0.709 0.709 0.419
Th12 0.714 0.000 0.714
Th13 0.753 0.753 0.000
Th14 0.882 0.500 0.382
Ge1 0.101 0.601 0.202
Ge2 0.101 0.899 0.500
Ge3 0.399 0.601 0.500
Ge4 0.399 0.899 0.798
Ge5 0.601 0.101 0.202
Ge6 0.601 0.399 0.500
Ge7 0.899 0.101 0.500
Ge8 0.899 0.399 0.798
Te1 0.126 0.126 0.253
Te2 0.126 0.874 0.000
Te3 0.327 0.500 0.827
Te4 0.500 0.327 0.827
Te5 0.500 0.673 0.173
Te6 0.673 0.500 0.173
Te7 0.874 0.126 0.000
Te8 0.874 0.874 0.747

Computed properties:
The calculation puts the raw total energy at -6.373 eV per atom. As for the space-group type: I4/mmm, No. 139.

A geometry-optimized Th3GeTe2 structure, computed with GGA-PBE.

Lattice parameters (Å, degrees): 14.603 13.928 7.675 79.32 69.59 31.10
Positions (direct):
Th1 0.040 0.534 0.186
Th2 0.097 0.653 0.653
Th3 0.186 0.740 0.040
Th4 0.260 0.814 0.466
Th5 0.347 0.903 0.903
Th6 0.466 0.960 0.260
Th7 0.534 0.040 0.740
Th8 0.653 0.097 0.097
Th9 0.740 0.186 0.534
Th10 0.814 0.260 0.960
Th11 0.903 0.347 0.347
Th12 0.960 0.466 0.814
Ge1 0.042 0.042 0.208
Ge2 0.208 0.208 0.042
Ge3 0.792 0.792 0.958
Ge4 0.958 0.958 0.792
Te1 0.129 0.129 0.621
Te2 0.295 0.295 0.455
Te3 0.379 0.379 0.871
Te4 0.455 0.455 0.295
Te5 0.545 0.545 0.705
Te6 0.621 0.621 0.129
Te7 0.705 0.705 0.545
Te8 0.871 0.871 0.379

Computed properties:
Its energy above the most stable polymorph in this dataset is 0 meV per atom. As for the space-group type: Fddd, No. 70.

A geometry-optimized Th2GeTe structure, computed with GGA-PBE.

Lattice parameters (Å, degrees): 8.073 8.073 8.073 30.61 30.61 30.61
Positions (direct):
Th1 0.000 0.000 0.000
Th2 0.190 0.190 0.190
Ge1 0.597 0.597 0.597
Te1 0.428 0.428 0.428

Computed properties:
Its energy above the most stable polymorph in this dataset is 16 meV per atom. As for the space-group type: R3m, No. 160.

A geometry-optimized Th4Ge2Te structure, computed with GGA-PBE.

Lattice parameters (Å, degrees): 14.302 14.302 14.302 16.91 16.91 16.91
Positions (direct):
Th1 0.132 0.132 0.132
Th2 0.282 0.282 0.282
Th3 0.718 0.718 0.718
Th4 0.868 0.868 0.868
Ge1 0.424 0.424 0.424
Ge2 0.576 0.576 0.576
Te1 0.000 0.000 0.000

Computed properties:
The calculation puts the raw total energy at -6.668 eV per atom. As for the space-group type: R-3m, No. 166.

| no. | DOS at the Fermi energy (states/eV/f.u.) |
| --- | --- |
| 1 | 0.54 |
| 2 | 4.84 |
| 3 | 4.95 |
| 4 | 0.74 |
| 5 | 3.80 |
| 6 | 3.13 |
| 7 | 8.13 |
| 8 | 4.12 |
| 9 | 1.37 |
| 10 | 5.37 |